# LiAsBr2O | Alexandria | PBE-GGA | optimized geometry
# - DOS at the Fermi energy (states/eV per cell) = 7.4
# - final energy (eV per atom) = -2.318
# - formation energy (no corrections) (meV per atom) = 656
# - energy above the lowest structure with this stoichiometry (meV/atom) = 874
# - crystal system = tetragonal
data_LiAsBr2O
_chemical_formula_sum 'Li1 As1 Br2 O1'
_space_group_name_H-M_alt 'P 4/m m m'
_space_group_IT_number 123
_space_group_name_Hall '-P 4 2'
_cell_length_a 4.5436
_cell_length_b 4.5436
_cell_length_c 5.1330
_cell_angle_alpha 90.00
_cell_angle_beta 90.00
_cell_angle_gamma 90.00
loop_
_atom_site_label
_atom_site_fract_x
_atom_site_fract_y
_atom_site_fract_z
Li1 0.0000 0.0000 0.0000
As1 0.0000 0.0000 0.5000
Br1 0.0000 0.5000 0.0000
O1 0.5000 0.5000 0.5000